1.
Below is an optimized crystal structure of NaRu3Cl, with properties calculated at the GGA-PBE level.

abc: 4.401 4.401 4.401
angles: 90.00 90.00 90.00
Positions (direct):
Na (0.000, 0.000, 0.000)
Ru (0.000, 0.500, 0.500)
Ru (0.500, 0.000, 0.500)
Ru (0.500, 0.500, 0.000)
Cl (0.500, 0.500, 0.500)

Output
As for the energy relative to the elements, uncorrected: 1.104 eV/atom. The crystal system is cubic. Its total magnetic moment is 0.0 μB per cell.



2.
Below is an optimized crystal structure of La2ZnSnC, with properties calculated at the GGA-PBE level.

abc: 5.444 5.444 4.026
angles: 90.00 90.00 90.00
Positions (direct):
La (0.000, 0.500, 0.000)
La (0.500, 0.000, 0.000)
Zn (0.000, 0.000, 0.500)
Sn (0.500, 0.500, 0.500)
C (0.000, 0.000, 0.000)

Output
As for the formation energy: -0.332 eV/atom. The crystal system is tetragonal. Its total magnetic moment is 0.0 μB per cell.



3.
Below is an optimized crystal structure of Tb4DyCo2, with properties calculated at the GGA-PBE level.

abc: 7.646 6.393 7.751
angles: 90.00 113.18 90.00
Positions (direct):
Tb (0.126, 0.250, 0.481)
Tb (0.174, 0.750, 0.251)
Tb (0.258, 0.503, 0.911)
Tb (0.258, 0.997, 0.911)
Tb (0.742, 0.003, 0.089)
Tb (0.742, 0.497, 0.089)
Tb (0.826, 0.250, 0.749)
Tb (0.874, 0.750, 0.519)
Dy (0.472, 0.250, 0.335)
Dy (0.528, 0.750, 0.665)
Co (0.095, 0.250, 0.130)
Co (0.489, 0.250, 0.767)
Co (0.511, 0.750, 0.233)
Co (0.905, 0.750, 0.870)

Output
As for the formation energy: -0.039 eV/atom. The crystal system is monoclinic. Its total magnetic moment is 0.0 μB per cell.



4.
Below is an optimized crystal structure of CoSb2Pb, with properties calculated at the GGA-PBE level.

abc: 5.124 5.124 5.124
angles: 60.00 60.00 60.00
Positions (direct):
Co (0.000, 0.000, 0.000)
Sb (0.250, 0.250, 0.250)
Sb (0.750, 0.750, 0.750)
Pb (0.500, 0.500, 0.500)

Output
As for the energy relative to the elements, uncorrected: 0.555 eV/atom. The crystal system is cubic. Its total magnetic moment is 1.6 μB per cell.



5.
Below is an optimized crystal structure of SrScIr2Pd, with properties calculated at the GGA-PBE level.

abc: 4.986 4.986 4.912
angles: 90.00 90.00 90.00
Positions (direct):
Sr (0.000, 0.000, 0.000)
Sc (0.500, 0.500, 0.500)
Ir (0.000, 0.500, 0.000)
Ir (0.500, 0.000, 0.000)
Pd (0.000, 0.000, 0.500)

Output
As for the formation energy: 1.529 eV/atom. The crystal system is tetragonal. Its total magnetic moment is 0.0 μB per cell.



6.
Below is an optimized crystal structure of Ce3Ni2Ge6, with properties calculated at the GGA-PBE level.

abc: 13.999 13.999 13.999
angles: 163.27 163.27 23.75
Positions (direct):
Ce (0.000, 0.000, 0.000)
Ce (0.171, 0.171, 0.000)
Ce (0.829, 0.829, 0.000)
Ni (0.361, 0.361, 0.000)
Ni (0.639, 0.639, 0.000)
Ge (0.084, 0.584, 0.500)
Ge (0.275, 0.275, 0.000)
Ge (0.416, 0.916, 0.500)
Ge (0.584, 0.084, 0.500)
Ge (0.725, 0.725, 0.000)
Ge (0.916, 0.416, 0.500)

Output
As for the formation energy: -0.523 eV/atom. The crystal system is tetragonal. Its total magnetic moment is 1.4 μB per cell.